# 1
ZrFeOs2C | PBE | relaxed

Calculated values
Space group: P4/mmm, No. 123
DFT total energy, eV per atom: -9.85
D(E_F), states/eV/atom: 0.3347
ΔH_f (0 K), eV/atom: -0.115
Total magnetization, μB per formula unit: 0.000
Calculated volume, Å³/atom: 13.26

```
5
Lattice="4.1065 0.0000 0.0000 0.0000 4.1065 0.0000 0.0000 0.0000 3.9325" Properties=species:S:1:pos:R:3 pbc="T T T"
Zr 0.0000 0.0000 0.0000
Fe 2.0533 2.0533 0.0000
Os 0.0000 2.0533 1.9663
Os 2.0533 0.0000 1.9663
C 2.0533 2.0533 1.9663
```

***

# 2
AcGe2Pd | PBE | relaxed

Calculated values
Space group: P4/mmm, No. 123
DFT total energy, eV per atom: -4.96
D(E_F), states/eV/atom: 0.7294
ΔH_f (0 K), eV/atom: -0.327
Total magnetization, μB per formula unit: 0.000
Distance to the lowest polymorph of the same formula, eV/f.u.: 1.66
Calculated volume, Å³/atom: 22.10

```
4
Lattice="3.5679 0.0000 0.0000 0.0000 3.5679 0.0000 0.0000 0.0000 6.9457" Properties=species:S:1:pos:R:3 pbc="T T T"
Ac 0.0000 0.0000 0.0000
Ge 1.7840 1.7840 2.1975
Ge 1.7840 1.7840 4.7482
Pd 0.0000 0.0000 3.4728
```

***

> Which of these has the lowest D(E_F)?

ZrFeOs2C

***

> D(E_F) of number 1 (ZrFeOs2C)?

0.3347 states/eV/atom